[1]
The following is a DFT calculation (PBE) of crystalline Sr2ReO6 at its relaxed geometry.

The total DFT energy (no corrections) comes out at -7.132 eV per atom. For the relative energy among the computed polymorphs, the calculation gives 3.26 kJ per mole of atoms. As for the spin magnetization: 1.03 μB per formula unit. As for the crystal system: tetragonal.

a = 5.311 Å, b = 5.311 Å, c = 10.550 Å
α = 90.00°, β = 90.00°, γ = 90.00°
Each line ends with the local moment (μB).
Positions (direct):
O 0.325 0.325 0.629  0.12
O 0.675 0.675 0.371  0.12
O 0.253 0.253 0.000  0.23
O 0.825 0.175 0.129  0.12
O 0.747 0.747 0.000  0.23
O 0.175 0.825 0.129  0.12
O 0.175 0.825 0.871  0.12
O 0.675 0.675 0.629  0.12
O 0.247 0.753 0.500  0.23
O 0.753 0.247 0.500  0.23
O 0.325 0.325 0.371  0.12
O 0.825 0.175 0.871  0.12
Re 0.000 0.000 0.000  -0.10
Re 0.500 0.500 0.500  -0.10
Sr 0.000 0.000 0.668  0.00
Sr 0.500 0.500 0.168  0.00
Sr 0.500 0.500 0.832  0.00
Sr 0.000 0.000 0.332  0.00

[2]
The following is a DFT calculation (PBE) of crystalline Sr2Re3O10 at its relaxed geometry.

The total DFT energy (no corrections) comes out at -7.993 eV per atom. As for the spin magnetization: 0.00 μB per formula unit. As for the crystal system: monoclinic.

a = 5.743 Å, b = 7.688 Å, c = 9.672 Å
α = 111.52°, β = 107.27°, γ = 90.00°
Positions (direct):
O 0.234 0.281 0.467
O 0.133 0.743 0.265
O 0.786 0.500 0.000
O 0.867 0.257 0.735
O 0.500 0.000 0.500
O 0.613 0.536 0.715
O 0.026 0.188 0.051
O 0.000 0.000 0.500
O 0.522 0.214 0.045
O 0.766 0.719 0.533
O 0.140 0.977 0.781
O 0.860 0.023 0.219
O 0.214 0.500 0.000
O 0.897 0.464 0.285
O 0.974 0.812 0.949
O 0.103 0.536 0.715
O 0.641 0.977 0.781
O 0.359 0.023 0.219
O 0.387 0.464 0.285
O 0.478 0.786 0.955
Sr 0.289 0.682 0.577
Sr 0.711 0.318 0.423
Sr 0.393 0.285 0.786
Sr 0.607 0.715 0.214
Re 0.716 0.000 0.000
Re 0.918 0.528 0.836
Re 0.082 0.472 0.164
Re 0.284 0.000 0.000
Re 0.817 0.977 0.634
Re 0.183 0.023 0.366

[3]
The following is a DFT calculation (PBE) of crystalline Sr2TbRe3O12 at its relaxed geometry.

The total DFT energy (no corrections) comes out at -7.905 eV per atom. As for the spin magnetization: 0.50 μB per formula unit. As for the crystal system: trigonal.

a = 6.778 Å, b = 6.778 Å, c = 6.778 Å
α = 66.40°, β = 66.40°, γ = 66.40°
Each line ends with the local moment (μB).
Positions (direct):
O 0.278 0.278 0.899  0.00
O 0.586 0.135 0.135  0.02
O 0.722 0.722 0.101  0.00
O 0.722 0.101 0.722  0.00
O 0.865 0.865 0.414  0.02
O 0.865 0.414 0.865  0.02
O 0.135 0.586 0.135  0.02
O 0.135 0.135 0.586  0.02
O 0.899 0.278 0.278  0.00
O 0.414 0.865 0.865  0.02
O 0.278 0.899 0.278  0.00
O 0.101 0.722 0.722  0.00
Re 0.500 0.000 0.000  0.12
Re 0.000 0.500 0.000  0.12
Re 0.000 0.000 0.500  0.12
Sr 0.378 0.378 0.378  0.00
Sr 0.622 0.622 0.622  0.00
Tb 0.000 0.000 0.000  0.02

[4]
The following is a DFT calculation (PBE) of crystalline Sr2TbReO8 at its relaxed geometry.

The total DFT energy (no corrections) comes out at -7.225 eV per atom. As for the spin magnetization: 0.00 μB per formula unit. As for the crystal system: triclinic.

a = 5.564 Å, b = 4.613 Å, c = 6.659 Å
α = 74.86°, β = 95.71°, γ = 89.37°
Positions (direct):
O 0.711 0.833 0.928
O 0.828 0.228 0.142
O 0.945 0.298 0.722
O 0.055 0.702 0.278
O 0.587 0.876 0.498
O 0.413 0.124 0.502
O 0.289 0.167 0.072
O 0.172 0.772 0.858
Sr 0.512 0.401 0.782
Sr 0.488 0.599 0.218
Tb 0.000 0.000 0.500
Re 0.000 0.000 0.000

[5]
The following is a DFT calculation (PBE) of crystalline Sr2TbReO6 at its relaxed geometry.

The total DFT energy (no corrections) comes out at -7.594 eV per atom. For the relative energy among the computed polymorphs, the calculation gives 4.20 kJ per mole of atoms. As for the spin magnetization: 1.91 μB per formula unit. As for the crystal system: cubic.

a = 5.920 Å, b = 5.920 Å, c = 5.920 Å
α = 60.00°, β = 60.00°, γ = 60.00°
Each line ends with the local moment (μB).
Positions (direct):
Tb 0.500 0.500 0.500  0.07
O 0.765 0.235 0.235  0.03
O 0.235 0.765 0.235  0.03
O 0.765 0.235 0.765  0.03
O 0.235 0.765 0.765  0.03
O 0.235 0.235 0.765  0.03
O 0.765 0.765 0.235  0.03
Re 0.000 0.000 0.000  1.37
Sr 0.750 0.750 0.750  0.01
Sr 0.250 0.250 0.250  0.01

[6]
The following is a DFT calculation (PBE) of crystalline Sr2TbReO6 at its relaxed geometry.

The total DFT energy (no corrections) comes out at -7.638 eV per atom. For the relative energy among the computed polymorphs, the calculation gives 0.00 kJ per mole of atoms. As for the spin magnetization: 2.01 μB per formula unit. As for the crystal system: monoclinic.

a = 5.839 Å, b = 5.916 Å, c = 8.292 Å
α = 90.00°, β = 90.30°, γ = 90.00°
Each line ends with the local moment (μB).
Positions (direct):
O 0.729 0.302 0.961  0.04
O 0.305 0.728 0.458  0.03
O 0.805 0.772 0.958  0.03
O 0.229 0.198 0.461  0.04
O 0.771 0.802 0.539  0.04
O 0.075 0.479 0.767  0.03
O 0.271 0.698 0.039  0.04
O 0.425 0.979 0.733  0.03
O 0.575 0.021 0.267  0.03
O 0.925 0.521 0.233  0.03
O 0.195 0.228 0.042  0.03
O 0.695 0.272 0.542  0.03
Re 0.500 0.000 0.500  1.47
Re 0.000 0.500 0.000  1.47
Tb 0.000 0.500 0.500  0.07
Tb 0.500 0.000 0.000  0.07
Sr 0.009 0.963 0.250  0.01
Sr 0.991 0.037 0.750  0.01
Sr 0.509 0.537 0.750  0.01
Sr 0.491 0.463 0.250  0.01

[7]
The following is a DFT calculation (PBE) of crystalline SrTb2ReO8 at its relaxed geometry.

The total DFT energy (no corrections) comes out at -7.723 eV per atom. As for the spin magnetization: 0.20 μB per formula unit. As for the crystal system: triclinic.

a = 5.024 Å, b = 4.862 Å, c = 7.194 Å
α = 89.55°, β = 89.94°, γ = 91.02°
Each line ends with the local moment (μB).
Positions (direct):
O 0.848 0.214 0.189  0.00
O 0.152 0.786 0.811  0.00
O 0.307 0.243 0.003  0.00
O 0.144 0.780 0.192  0.00
O 0.693 0.757 0.997  0.00
O 0.552 0.747 0.500  0.09
O 0.448 0.253 0.500  0.09
O 0.856 0.220 0.808  0.00
Tb 0.499 0.497 0.763  0.00
Tb 0.501 0.503 0.237  0.00
Sr 0.000 0.000 0.500  0.00
Re 0.000 0.000 0.000  0.00

[8]
The following is a DFT calculation (PBE) of crystalline SrReTc2O8 at its relaxed geometry.

The total DFT energy (no corrections) comes out at -7.853 eV per atom. As for the spin magnetization: 0.00 μB per formula unit. As for the crystal system: monoclinic.

a = 4.850 Å, b = 4.845 Å, c = 6.362 Å
α = 90.00°, β = 90.00°, γ = 87.35°
Positions (direct):
Re 0.000 0.000 0.000
O 0.785 0.216 0.201
O 0.660 0.662 0.500
O 0.340 0.338 0.500
O 0.286 0.285 0.000
O 0.215 0.784 0.201
O 0.215 0.784 0.799
O 0.785 0.216 0.799
O 0.714 0.715 0.000
Tc 0.500 0.500 0.760
Tc 0.500 0.500 0.240
Sr 0.000 0.000 0.500

[9]
The following is a DFT calculation (PBE) of crystalline SrTl2ReO6 at its relaxed geometry.

The total DFT energy (no corrections) comes out at -6.303 eV per atom. As for the spin magnetization: 0.00 μB per formula unit. As for the crystal system: trigonal.

a = 6.349 Å, b = 6.346 Å, c = 6.346 Å
α = 120.00°, β = 90.00°, γ = 90.00°
Positions (direct):
O 0.180 0.861 0.139
O 0.180 0.279 0.139
O 0.180 0.861 0.721
O 0.820 0.721 0.861
O 0.820 0.139 0.279
O 0.820 0.139 0.861
Tl 0.002 0.667 0.333
Tl 0.998 0.333 0.667
Re 0.000 0.000 0.000
Sr 0.500 0.000 0.000

[10]
The following is a DFT calculation (PBE) of crystalline Sr2TlReO8 at its relaxed geometry.

The total DFT energy (no corrections) comes out at -6.453 eV per atom. As for the spin magnetization: 0.00 μB per formula unit. As for the crystal system: triclinic.

a = 4.676 Å, b = 5.263 Å, c = 7.761 Å
α = 88.15°, β = 87.85°, γ = 91.78°
Positions (direct):
Sr 0.462 0.494 0.750
Sr 0.538 0.506 0.250
O 0.317 0.266 0.499
O 0.413 0.111 0.010
O 0.073 0.720 0.140
O 0.587 0.889 0.990
O 0.091 0.818 0.805
O 0.683 0.734 0.501
O 0.909 0.182 0.195
O 0.927 0.280 0.860
Tl 0.000 0.000 0.500
Re 0.000 0.000 0.000

[11]
The following is a DFT calculation (PBE) of crystalline Sr2TlReO5 at its relaxed geometry.

The total DFT energy (no corrections) comes out at -6.738 eV per atom. As for the spin magnetization: 1.55 μB per formula unit. As for the crystal system: orthorhombic.

a = 3.936 Å, b = 6.381 Å, c = 6.839 Å
α = 117.81°, β = 106.73°, γ = 90.00°
Each line ends with the local moment (μB).
Positions (direct):
O 0.629 0.341 0.257  0.05
O 0.000 0.000 0.000  0.01
O 0.629 0.916 0.257  0.05
O 0.371 0.084 0.743  0.05
O 0.371 0.659 0.743  0.05
Sr 0.226 0.226 0.452  0.01
Sr 0.774 0.774 0.548  0.01
Re 0.500 0.000 0.000  1.02
Tl 0.000 0.500 0.000  0.02

[12]
The following is a DFT calculation (PBE) of crystalline Sr2Tl2ReO6 at its relaxed geometry.

The total DFT energy (no corrections) comes out at -6.353 eV per atom. As for the spin magnetization: 1.03 μB per formula unit. As for the crystal system: monoclinic.

a = 6.085 Å, b = 6.085 Å, c = 6.615 Å
α = 97.44°, β = 97.44°, γ = 119.07°
Each line ends with the local moment (μB).
Positions (direct):
Tl 0.160 0.840 0.000  0.02
Tl 0.840 0.160 0.000  0.02
O 0.953 0.686 0.336  0.01
O 0.314 0.047 0.664  0.01
O 0.686 0.953 0.336  0.01
O 0.794 0.794 0.691  0.02
O 0.206 0.206 0.309  0.02
O 0.047 0.314 0.664  0.01
Re 0.000 0.000 0.500  0.72
Sr 0.664 0.336 0.500  0.01
Sr 0.336 0.664 0.500  0.01